Record 1
# LiSe2SCl PBEsol relaxed
data_LiSe2SCl
_chemical_formula_sum 'Li1 Se2 S1 Cl1'
_symmetry_space_group_name_H-M 'P 1'
_symmetry_Int_Tables_number 1
_cell_length_a 4.705
_cell_length_b 4.705
_cell_length_c 4.163
_cell_angle_alpha 90.00
_cell_angle_beta 90.00
_cell_angle_gamma 90.00
loop_
_symmetry_equiv_pos_as_xyz
'x,y,z'
loop_
_atom_site_label
_atom_site_type_symbol
_atom_site_fract_x
_atom_site_fract_y
_atom_site_fract_z
Li1 Li 0.000 0.000 0.000
Se1 Se 0.000 0.500 0.000
Se2 Se 0.500 0.000 0.000
S1 S 0.500 0.500 0.500
Cl1 Cl 0.000 0.000 0.500
# energy = -2.903 eV per atom
# raw formation energy = 308 meV per atom

Record 2
# KTe2P2 PBEsol relaxed
data_KTe2P2
_chemical_formula_sum 'K1 Te2 P2'
_symmetry_space_group_name_H-M 'P 1'
_symmetry_Int_Tables_number 1
_cell_length_a 10.007
_cell_length_b 10.007
_cell_length_c 10.007
_cell_angle_alpha 159.32
_cell_angle_beta 159.32
_cell_angle_gamma 29.41
loop_
_symmetry_equiv_pos_as_xyz
'x,y,z'
loop_
_atom_site_label
_atom_site_type_symbol
_atom_site_fract_x
_atom_site_fract_y
_atom_site_fract_z
K1 K 0.000 0.000 0.000
Te1 Te 0.372 0.372 0.000
Te2 Te 0.628 0.628 0.000
P1 P 0.250 0.750 0.500
P2 P 0.750 0.250 0.500
# energy = -3.850 eV per atom
# raw formation energy = 104 meV per atom

Record 3
# KLaAs PBEsol relaxed
data_KLaAs
_chemical_formula_sum 'K1 La1 As1'
_symmetry_space_group_name_H-M 'P 1'
_symmetry_Int_Tables_number 1
_cell_length_a 4.436
_cell_length_b 4.436
_cell_length_c 7.699
_cell_angle_alpha 90.00
_cell_angle_beta 90.00
_cell_angle_gamma 120.00
loop_
_symmetry_equiv_pos_as_xyz
'x,y,z'
loop_
_atom_site_label
_atom_site_type_symbol
_atom_site_fract_x
_atom_site_fract_y
_atom_site_fract_z
K1 K 0.000 0.000 0.000
La1 La 0.667 0.333 0.452
As1 As 0.333 0.667 0.286
# energy = -4.434 eV per atom
# formation energy = -0.5716 eV/atom